Here is a relaxed CaY2Zr crystal from Alexandria via LeMat-Bulk. Energies are from PBE.

Cell and atoms, written as POSCAR:
```
CaY2Zr
1.0
3.450 0.000 0.000
0.000 3.450 0.000
0.000 0.000 10.433
Y Ca Zr
2 1 1
Direct
0.000 0.000 0.013
0.500 0.500 0.272
0.500 0.500 0.733
0.000 0.000 0.482
```

Output
Relative energy among the computed polymorphs (eV/atom): 0.077
Total energy (eV/cell): -22.8
Energy of formation from the pure elements (eV per formula unit): 0.72
Crystal system: tetragonal

Here is a relaxed Ca2YZr crystal from Alexandria via LeMat-Bulk. Energies are from PBE.

Cell and atoms, written as POSCAR:
```
Ca2YZr
1.0
-0.669 0.327 -4.440
3.401 -0.978 -0.584
1.078 -8.889 -0.818
Y Ca Zr
1 2 1
Direct
0.000 0.457 0.543
0.000 0.035 0.966
0.500 0.225 0.275
0.500 0.783 0.717
```

Output
Relative energy among the computed polymorphs (eV/atom): 0.084
Total energy (eV/cell): -18.1
Energy of formation from the pure elements (eV per formula unit): 0.93
Crystal system: monoclinic

Here is a relaxed Ca2YZr crystal from Alexandria via LeMat-Bulk. Energies are from PBE.

Cell and atoms, written as POSCAR:
```
Ca2YZr
1.0
-6.528 -6.006 -1.227
3.393 -5.034 6.584
-3.435 -3.934 4.852
Y Ca Zr
2 4 2
Direct
0.500 0.500 0.000
0.250 0.750 0.500
0.637 0.125 0.250
0.113 0.625 0.250
0.375 0.363 0.750
0.875 0.887 0.750
0.000 0.000 0.000
0.750 0.250 0.500
```

Output
Relative energy among the computed polymorphs (eV/atom): 0.517
Total energy (eV/cell): -32.7
Energy of formation from the pure elements (eV per formula unit): 2.66
Crystal system: tetragonal

Question: Which of these has the highest energy of formation from the pure elements?
Answer: number 3

Question: Number 2 is which compound?
Answer: Ca2YZr

Question: What is the total energy in the second record?
Answer: -18.1 eV/cell